[1]
Density functional theory data (GGA-PBE) for Nb2SiO2 after structural relaxation.

a b c (Å): 3.467 3.467 10.812
angles (deg): 90.00 90.00 90.00
Space group I4/mmm (No. 139)
Inequivalent atoms, fractional coordinates:
Nb1 0.000 0.000 0.133 [4 per cell]
Si1 0.000 0.000 0.500 [2 per cell]
O1 0.000 0.500 0.250 [4 per cell]

Values from the calculation:
Magnetization, μB per cell: 0.00
Crystal system: tetragonal
Density of states at the Fermi level, states/eV/cell: 3.7
E above lowest polymorph, meV/atom: 0

---

[2]
Density functional theory data (GGA-PBE) for NbSi3O after structural relaxation.

a b c (Å): 4.079 4.079 4.079
angles (deg): 90.00 90.00 90.00
Space group Pm-3m (No. 221)
Inequivalent atoms, fractional coordinates:
Nb1 0.000 0.000 0.000 [1 per cell]
Si1 0.000 0.500 0.500 [3 per cell]
O1 0.500 0.500 0.500 [1 per cell]

Values from the calculation:
Magnetization, μB per cell: 0.00
Crystal system: cubic
Density of states at the Fermi level, states/eV/cell: 3.9
E above lowest polymorph, meV/atom: 0

---

[3]
Density functional theory data (GGA-PBE) for Nb3SiO10 after structural relaxation.

a b c (Å): 4.818 5.438 6.823
angles (deg): 102.00 109.77 90.46
Space group P1 (No. 1)
Inequivalent atoms, fractional coordinates:
Nb1 0.000 0.000 0.000 [1 per cell]
Nb2 0.265 0.465 0.486 [1 per cell]
Nb3 0.558 0.513 0.047 [1 per cell]
Si1 0.768 0.944 0.455 [1 per cell]
O1 0.013 0.216 0.527 [1 per cell]
O2 0.069 0.752 0.527 [1 per cell]
O3 0.193 0.711 0.972 [1 per cell]
O4 0.331 0.209 0.987 [1 per cell]
O5 0.447 0.117 0.370 [1 per cell]
O6 0.531 0.645 0.359 [1 per cell]
O7 0.567 0.517 0.770 [1 per cell]
O8 0.757 0.991 0.720 [1 per cell]
O9 0.785 0.880 0.182 [1 per cell]
O10 0.941 0.365 0.164 [1 per cell]

Values from the calculation:
Magnetization, μB per cell: 0.96
Crystal system: triclinic
Uncorrected energy, Ry per atom: -0.618
Density of states at the Fermi level, states/eV/cell: 3.8

---

[4]
Density functional theory data (GGA-PBE) for NbSiO3 after structural relaxation.

a b c (Å): 4.000 4.000 4.000
angles (deg): 90.00 90.00 90.00
Space group Pm-3m (No. 221)
Inequivalent atoms, fractional coordinates:
Nb1 0.000 0.000 0.000 [1 per cell]
Si1 0.500 0.500 0.500 [1 per cell]
O1 0.000 0.000 0.500 [3 per cell]

Values from the calculation:
Magnetization, μB per cell: 0.00
Crystal system: cubic
Uncorrected energy, Ry per atom: -0.549
Density of states at the Fermi level, states/eV/cell: 2.7

---

[5]
Density functional theory data (GGA-PBE) for NbSiO3 after structural relaxation.

a b c (Å): 3.599 3.599 3.599
angles (deg): 90.00 90.00 90.00
Space group Pm-3m (No. 221)
Inequivalent atoms, fractional coordinates:
Nb1 0.000 0.000 0.000 [1 per cell]
Si1 0.500 0.500 0.500 [1 per cell]
O1 0.000 0.500 0.500 [3 per cell]

Values from the calculation:
Magnetization, μB per cell: 2.84
Crystal system: cubic
Uncorrected energy, Ry per atom: -0.545
Density of states at the Fermi level, states/eV/cell: 1.8

---

[6]
Density functional theory data (GGA-PBE) for NbSi3O after structural relaxation.

a b c (Å): 4.869 4.869 4.869
angles (deg): 90.00 90.00 90.00
Space group Pm-3m (No. 221)
Inequivalent atoms, fractional coordinates:
Nb1 0.000 0.000 0.000 [1 per cell]
Si1 0.000 0.000 0.500 [3 per cell]
O1 0.500 0.500 0.500 [1 per cell]

Values from the calculation:
Magnetization, μB per cell: 1.90
Crystal system: cubic
Density of states at the Fermi level, states/eV/cell: 5.7
E above lowest polymorph, meV/atom: 1106

---

[7]
Density functional theory data (GGA-PBE) for Nb2SiO2 after structural relaxation.

a b c (Å): 6.784 6.784 2.717
angles (deg): 90.00 90.00 90.00
Space group P4/mbm (No. 127)
Inequivalent atoms, fractional coordinates:
Nb1 0.161 0.339 0.000 [4 per cell]
Si1 0.000 0.000 0.000 [2 per cell]
O1 0.122 0.622 0.500 [4 per cell]

Values from the calculation:
Magnetization, μB per cell: 0.00
Crystal system: tetragonal
Density of states at the Fermi level, states/eV/cell: 5.7
E above lowest polymorph, meV/atom: 557

---

[8]
Density functional theory data (GGA-PBE) for Nb2SiO after structural relaxation.

a b c (Å): 5.003 5.003 11.379
angles (deg): 90.00 90.00 90.00
Space group I-42d (No. 122)
Inequivalent atoms, fractional coordinates:
Nb1 0.166 0.250 0.125 [8 per cell]
Si1 0.000 0.000 0.500 [4 per cell]
O1 0.000 0.000 0.000 [4 per cell]

Values from the calculation:
Magnetization, μB per cell: 0.00
Crystal system: tetragonal
Density of states at the Fermi level, states/eV/cell: 15.8
E above lowest polymorph, meV/atom: 0